1.
# MgBiPb2Cl (PBE, optimized geometry)
# Energy relative to the elements, uncorrected ... 0.321 eV/atom
# E_tot ... -13.13 eV/cell
# Excess energy over the best structure of this formula in the dataset ... 0.0 kJ per mole of atoms
# Mass density ... 5.52 Mg/m³
# Density of states at the Fermi level ... 5.23 states/eV per cell
data_MgBiPb2Cl
_chemical_formula_sum 'Mg1 Bi1 Pb2 Cl1'
_symmetry_space_group_name_H-M 'P 4/m m m'
_symmetry_Int_Tables_number 123
_symmetry_space_group_name_Hall '-P 4 2'
_cell_length_a 6.188
_cell_length_b 6.188
_cell_length_c 5.363
_cell_angle_alpha 90.00
_cell_angle_beta 90.00
_cell_angle_gamma 90.00
loop_
_atom_site_label
_atom_site_type_symbol
_atom_site_fract_x
_atom_site_fract_y
_atom_site_fract_z
_atom_site_occupancy
Mg1 Mg 0.000 0.000 0.000 1
Bi1 Bi 0.500 0.500 0.500 1
Pb1 Pb 0.000 0.500 0.500 1
Cl1 Cl 0.500 0.500 0.000 1

---

2.
# MgBiPd2Cl (PBE, optimized geometry)
# Energy relative to the elements, uncorrected ... 0.071 eV/atom
# E_tot ... -17.35 eV/cell
# Mass density ... 7.08 Mg/m³
# Density of states at the Fermi level ... 2.33 states/eV per cell
data_MgBiPd2Cl
_chemical_formula_sum 'Mg1 Bi1 Pd2 Cl1'
_symmetry_space_group_name_H-M 'P 4/m m m'
_symmetry_Int_Tables_number 123
_symmetry_space_group_name_Hall '-P 4 2'
_cell_length_a 4.995
_cell_length_b 4.995
_cell_length_c 4.528
_cell_angle_alpha 90.00
_cell_angle_beta 90.00
_cell_angle_gamma 90.00
loop_
_atom_site_label
_atom_site_type_symbol
_atom_site_fract_x
_atom_site_fract_y
_atom_site_fract_z
_atom_site_occupancy
Mg1 Mg 0.000 0.000 0.000 1
Bi1 Bi 0.500 0.500 0.500 1
Pd1 Pd 0.000 0.500 0.000 1
Cl1 Cl 0.000 0.000 0.500 1

---

3.
# Rb2MgBiCl6 (PBE, optimized geometry)
# Energy relative to the elements, uncorrected ... -1.499 eV/atom
# E_tot ... -66.95 eV/cell
# Mass density ... 3.11 Mg/m³
data_Rb2MgBiCl6
_chemical_formula_sum 'Rb4 Mg2 Bi2 Cl12'
_symmetry_space_group_name_H-M 'P m m n'
_symmetry_Int_Tables_number 59
_cell_length_a 7.398
_cell_length_b 11.596
_cell_length_c 7.680
_cell_angle_alpha 90.00
_cell_angle_beta 90.00
_cell_angle_gamma 90.00
loop_
_symmetry_equiv_pos_as_xyz
'x,y,z'
'-x,-y,-z'
'-x+1/2,-y+1/2,z'
'x+1/2,y+1/2,-z'
'x+1/2,-y,-z'
'-x+1/2,y,z'
'-x,y+1/2,-z'
'x,-y+1/2,z'
loop_
_atom_site_label
_atom_site_type_symbol
_atom_site_fract_x
_atom_site_fract_y
_atom_site_fract_z
_atom_site_occupancy
Rb1 Rb 0.250 0.025 0.214 1
Mg1 Mg 0.250 0.750 0.786 1
Bi1 Bi 0.250 0.250 0.708 1
Cl1 Cl 0.003 0.250 0.442 1
Cl2 Cl 0.007 0.750 0.038 1
Cl3 Cl 0.250 0.542 0.791 1

---

4.
# RbMgBiCl6 (PBE, optimized geometry)
# Energy relative to the elements, uncorrected ... -1.532 eV/atom
# E_tot ... -31.32 eV/cell
# Mass density ... 2.93 Mg/m³
# Density of states at the Fermi level ... 0.00 states/eV per cell
data_RbMgBiCl6
_chemical_formula_sum 'Rb1 Mg1 Bi1 Cl6'
_symmetry_space_group_name_H-M 'P 3 1 2'
_symmetry_Int_Tables_number 149
_cell_length_a 6.9098
_cell_length_b 6.9098
_cell_length_c 7.2925
_cell_angle_alpha 90.00
_cell_angle_beta 90.00
_cell_angle_gamma 120.00
loop_
_symmetry_equiv_pos_as_xyz
'x,y,z'
'-y,x-y,z'
'-x+y,-x,z'
'-y,-x,-z'
'-x+y,y,-z'
'x,x-y,-z'
loop_
_atom_site_label
_atom_site_type_symbol
_atom_site_fract_x
_atom_site_fract_y
_atom_site_fract_z
_atom_site_occupancy
Rb1 Rb 0.0000 0.0000 0.0000 1
Mg1 Mg 0.3333 0.6667 0.5000 1
Bi1 Bi 0.6667 0.3333 0.5000 1
Cl1 Cl 0.0217 0.3846 0.7050 1

---

5.
# RbMg2BiCl8 (PBE, optimized geometry)
# Energy relative to the elements, uncorrected ... -1.538 eV/atom
# E_tot ... -41.26 eV/cell
# Mass density ... 2.80 Mg/m³
# Density of states at the Fermi level ... 0.00 states/eV per cell
data_RbMg2BiCl8
_chemical_formula_sum 'Rb1 Mg2 Bi1 Cl8'
_symmetry_space_group_name_H-M 'P -1'
_symmetry_Int_Tables_number 2
_cell_length_a 6.595
_cell_length_b 6.612
_cell_length_c 9.195
_cell_angle_alpha 76.42
_cell_angle_beta 76.75
_cell_angle_gamma 76.38
loop_
_symmetry_equiv_pos_as_xyz
'x,y,z'
'-x,-y,-z'
loop_
_atom_site_label
_atom_site_type_symbol
_atom_site_fract_x
_atom_site_fract_y
_atom_site_fract_z
_atom_site_occupancy
Rb1 Rb 0.000 0.000 0.000 1
Mg1 Mg 0.456 0.454 0.212 1
Bi1 Bi 0.000 0.000 0.500 1
Cl1 Cl 0.193 0.725 0.727 1
Cl2 Cl 0.267 0.800 0.276 1
Cl3 Cl 0.276 0.265 0.455 1
Cl4 Cl 0.343 0.331 0.023 1

---

6.
# MgBiS2Cl (PBE, optimized geometry)
# Energy relative to the elements, uncorrected ... -0.465 eV/atom
# E_tot ... -17.90 eV/cell
# Mass density ... 4.94 Mg/m³
# Density of states at the Fermi level ... 1.27 states/eV per cell
data_MgBiS2Cl
_chemical_formula_sum 'Mg1 Bi1 S2 Cl1'
_symmetry_space_group_name_H-M 'P 4/m m m'
_symmetry_Int_Tables_number 123
_symmetry_space_group_name_Hall '-P 4 2'
_cell_length_a 4.949
_cell_length_b 4.949
_cell_length_c 4.573
_cell_angle_alpha 90.00
_cell_angle_beta 90.00
_cell_angle_gamma 90.00
loop_
_atom_site_label
_atom_site_type_symbol
_atom_site_fract_x
_atom_site_fract_y
_atom_site_fract_z
_atom_site_occupancy
Mg1 Mg 0.000 0.000 0.000 1
Bi1 Bi 0.500 0.500 0.500 1
S1 S 0.000 0.500 0.000 1
Cl1 Cl 0.000 0.000 0.500 1

---

7.
# MgBiS2Cl (PBE, optimized geometry)
# Energy relative to the elements, uncorrected ... -0.071 eV/atom
# E_tot ... -15.93 eV/cell
# Mass density ... 3.73 Mg/m³
# Density of states at the Fermi level ... 2.00 states/eV per cell
data_MgBiS2Cl
_chemical_formula_sum 'Mg1 Bi1 S2 Cl1'
_symmetry_space_group_name_H-M 'P 4/m m m'
_symmetry_Int_Tables_number 123
_symmetry_space_group_name_Hall '-P 4 2'
_cell_length_a 5.329
_cell_length_b 5.329
_cell_length_c 5.219
_cell_angle_alpha 90.00
_cell_angle_beta 90.00
_cell_angle_gamma 90.00
loop_
_atom_site_label
_atom_site_type_symbol
_atom_site_fract_x
_atom_site_fract_y
_atom_site_fract_z
_atom_site_occupancy
Mg1 Mg 0.000 0.000 0.000 1
Bi1 Bi 0.500 0.500 0.500 1
S1 S 0.000 0.500 0.500 1
Cl1 Cl 0.500 0.500 0.000 1

---

8.
# MgBiSCl2 (PBE, optimized geometry)
# Energy relative to the elements, uncorrected ... -0.317 eV/atom
# E_tot ... -14.88 eV/cell
# Excess energy over the best structure of this formula in the dataset ... 40.9 kJ per mole of atoms
# Mass density ... 3.48 Mg/m³
# Density of states at the Fermi level ... 1.65 states/eV per cell
data_MgBiSCl2
_chemical_formula_sum 'Mg1 Bi1 S1 Cl2'
_symmetry_space_group_name_H-M 'P 4/m m m'
_symmetry_Int_Tables_number 123
_symmetry_space_group_name_Hall '-P 4 2'
_cell_length_a 5.449
_cell_length_b 5.449
_cell_length_c 5.397
_cell_angle_alpha 90.00
_cell_angle_beta 90.00
_cell_angle_gamma 90.00
loop_
_atom_site_label
_atom_site_type_symbol
_atom_site_fract_x
_atom_site_fract_y
_atom_site_fract_z
_atom_site_occupancy
Mg1 Mg 0.000 0.000 0.000 1
Bi1 Bi 0.500 0.500 0.500 1
S1 S 0.500 0.500 0.000 1
Cl1 Cl 0.000 0.500 0.500 1